Compound: Sr2MgFe
Source: the Alexandria database
Functional: GGA-PBEsol
Structure: optimized geometry

Cell: 6.689 6.689 6.689 Å, 148.05 130.71 59.95°
Fractional positions:
Sr: 0.000 0.000 0.000
Sr: 0.698 0.198 0.500
Mg: 0.405 0.405 0.000
Fe: 0.235 0.735 0.500

Calculated values
Calculated volume in Å³ per atom: 29.8
Symmetry: Imm2, No. 44

=====

Compound: SrMgFe2
Source: the Alexandria database
Functional: GGA-PBEsol
Structure: optimized geometry

Cell: 9.598 9.598 9.598 Å, 17.99 17.99 17.99°
Fractional positions:
Sr: 0.000 0.000 0.000
Mg: 0.500 0.500 0.500
Fe: 0.244 0.244 0.244
Fe: 0.756 0.756 0.756

Calculated values
Calculated volume in Å³ per atom: 18.4
Symmetry: R-3m, No. 166

=====

Compound: SrMg2Fe
Source: the Alexandria database
Functional: GGA-PBEsol
Structure: optimized geometry

Cell: 5.117 5.117 5.117 Å, 60.00 60.00 60.00°
Fractional positions:
Sr: 0.000 0.000 0.000
Mg: 0.500 0.500 0.500
Mg: 0.750 0.750 0.750
Fe: 0.250 0.250 0.250

Calculated values
Calculated volume in Å³ per atom: 23.7
Symmetry: F-43m, No. 216

=====

Short version: energy of formation = 0.46; 0.96; 0.51 eV per atom, in the order given.